Record 1
Here is a relaxed LiCd2Mo crystal from the Alexandria database. Energies are from PBE.

Computed properties:
* ΔH_f (0 K): 137 kJ/mol of formula units
* ρ: 7.4 g/cm3
* ΔE to the lowest computed polymorph: 0.2103 eV per atom
* spin magnetization: 0.0 Bohr magnetons per cell
* total energy: -3.29 eV per atom

Cell: 2.718 4.686 5.802 Å, 90.00 90.00 90.00°
Space group Pmm2 (No. 25)
Unique sites:
Li1 0.000 0.000 0.000 x1
Cd1 0.000 0.000 0.462 x1
Cd2 0.500 0.500 0.772 x1
Mo1 0.500 0.500 0.261 x1

Record 2
Here is a relaxed Li4CdMo crystal from the Alexandria database. Energies are from PBE.

Computed properties:
* ΔH_f (0 K): 217 kJ/mol of formula units
* ρ: 4.1 g/cm3
* spin magnetization: 10.5 Bohr magnetons per cell
* total energy: -2.86 eV per atom

Cell: 7.280 7.280 7.280 Å, 90.00 90.00 90.00°
Space group F-43m (No. 216)
Unique sites:
Li1 0.124 0.124 0.124 x16
Cd1 0.000 0.000 0.500 x4
Mo1 0.250 0.250 0.750 x4

Record 3
Here is a relaxed LiCd2Mo crystal from the Alexandria database. Energies are from PBE.

Computed properties:
* ΔH_f (0 K): 145 kJ/mol of formula units
* ρ: 7.3 g/cm3
* ΔE to the lowest computed polymorph: 0.2301 eV per atom
* spin magnetization: 9.3 Bohr magnetons per cell
* total energy: -3.27 eV per atom

Cell: 6.677 6.677 6.677 Å, 90.00 90.00 90.00°
Space group Fm-3m (No. 225)
Unique sites:
Li1 0.000 0.000 0.000 x4
Cd1 0.250 0.250 0.250 x8
Mo1 0.000 0.000 0.500 x4

Among the records above, which one has the highest spin magnetization? Li4CdMo